# NdGa2Tc4 PBE optimized geometry
data_NdGa2Tc4
_cell_length_a 4.2198
_cell_length_b 14.2704
_cell_length_c 4.2212
_cell_angle_alpha 90.00
_cell_angle_beta 90.00
_cell_angle_gamma 90.00
_space_group_name_H-M_alt 'C m m m'
_space_group_IT_number 65
_space_group_name_Hall '-C 2 2'
loop_
_atom_site_label
_atom_site_fract_x
_atom_site_fract_y
_atom_site_fract_z
Nd1 0.0000 0.0000 0.0000
Ga1 0.0000 0.4112 0.5000
Tc1 0.0000 0.2003 0.5000
Tc2 0.0000 0.2997 0.0000
# Magnetic moment (μB/atom): 0.000
# Density of states at the Fermi level (states/eV per atom): 0.6335
# DFT total energy (eV/cell): -108.36